Model i:
Here is a relaxed structure of CaMgTl3 from the Alexandria database. Energies are from GGA-PBE.

Unit cell a=7.4761 b=7.4761 c=6.0804 alpha=90.00 beta=90.00 gamma=120.00
Closest atoms and distances in Å follow each position.
Space group P6_3/mmc (No. 194)
Symmetry-distinct sites (fractional):
Ca1 0.3333 0.6667 0.2500 (multiplicity 2)  12 Tl 3.54-3.75
Mg1 0.0000 0.0000 0.0000 (multiplicity 2)  6 Tl 2.92, 2 Mg 3.04
Tl1 0.1927 0.3855 0.7500 (multiplicity 6)  2 Mg 2.92, 2 Tl 3.15

Model ii:
Here is a relaxed structure of CaMgTl3 from the Alexandria database. Energies are from GGA-PBE.

Unit cell a=5.9469 b=5.9469 c=5.9469 alpha=90.00 beta=90.00 gamma=90.00
Closest atoms and distances in Å follow each position.
Space group Pm-3m (No. 221)
Symmetry-distinct sites (fractional):
Ca1 0.0000 0.0000 0.0000 (multiplicity 1)  6 Tl 2.97
Mg1 0.5000 0.5000 0.5000 (multiplicity 1)  12 Tl 4.21
Tl1 0.0000 0.0000 0.5000 (multiplicity 3)  2 Ca 2.97

Energy above the most stable structure, in eV/atom: model i 0.000; model ii 0.583